Entry 1:
Density functional theory data (PBE) for a geometry-optimized InTcSbI2 structure.

Calculated values
E_form (uncorrected), eV per atom: 1.109
Magnetic moment, μB per formula unit: 4.28

Cell: 5.822 5.822 5.835 Å, 90.00 90.00 90.00°
Atoms (fractional coordinates):
Sb (0.000, 0.000, 0.500)
Tc (0.500, 0.500, 0.500)
In (0.000, 0.000, 0.000)
I (0.000, 0.500, 0.000)
I (0.500, 0.000, 0.000)

=====

Entry 2:
Density functional theory data (PBE) for a geometry-optimized NbHgTe2 structure.

Calculated values
E_form (uncorrected), eV per atom: 0.191
Magnetic moment, μB per formula unit: 0.89

Cell: 5.594 5.594 5.594 Å, 52.62 52.62 52.62°
Atoms (fractional coordinates):
Nb (0.887, 0.887, 0.887)
Hg (0.454, 0.454, 0.454)
Te (0.226, 0.226, 0.226)
Te (0.684, 0.684, 0.684)

=====

Entry 3:
Density functional theory data (PBE) for a geometry-optimized Fe2PW structure.

Calculated values
DFT formation energy, eV/f.u.: -0.4
Magnetic moment, μB per formula unit: 1.02

Cell: 4.803 4.803 4.803 Å, 146.14 128.43 63.13°
Atoms (fractional coordinates):
P (0.250, 0.750, 0.500)
Fe (0.031, 0.031, 0.000)
Fe (0.469, 0.469, 0.000)
W (0.750, 0.250, 0.500)

=====

Entry 4:
Density functional theory data (PBE) for a geometry-optimized CaBeCd structure.

Calculated values
DFT formation energy, eV/f.u.: 0.5
Magnetic moment, μB per formula unit: 0.00

Cell: 5.933 5.932 3.406 Å, 73.32 73.32 33.37°
Atoms (fractional coordinates):
Cd (0.631, 0.631, 0.369)
Ca (0.342, 0.341, 0.658)
Be (0.027, 0.028, 0.973)

=====

Entry 5:
Density functional theory data (PBE) for a geometry-optimized AuCS2 structure.

Calculated values
E_form (uncorrected), eV per atom: 1.177
Magnetic moment, μB per formula unit: 0.00

Cell: 7.292 7.292 7.292 Å, 25.10 25.10 25.10°
Atoms (fractional coordinates):
C (0.500, 0.500, 0.500)
Au (0.000, 0.000, 0.000)
S (0.111, 0.111, 0.111)
S (0.889, 0.889, 0.889)

=====

Entry 6:
Density functional theory data (PBE) for a geometry-optimized Nd4RuSeI2 structure.

Calculated values
E_form (uncorrected), eV per atom: -1.018
Magnetic moment, μB per formula unit: 0.00

Cell: 4.164 7.712 8.216 Å, 106.07 90.00 90.00°
Atoms (fractional coordinates):
Nd (0.000, 0.293, 0.813)
Nd (0.500, 0.747, 0.810)
Nd (0.500, 0.253, 0.190)
Nd (0.000, 0.707, 0.187)
Ru (0.500, 0.500, 0.000)
Se (0.000, 0.000, 0.000)
I (0.500, 0.000, 0.500)
I (0.000, 0.500, 0.500)

=====

Entry 7:
Density functional theory data (PBE) for a geometry-optimized Pr5Ho3Hg2 structure.

Calculated values
DFT formation energy, eV/f.u.: -0.6
Magnetic moment, μB per formula unit: 0.00

Cell: 7.065 11.807 11.807 Å, 43.59 72.59 72.59°
Atoms (fractional coordinates):
Pr (0.291, 0.877, 0.540)
Pr (0.418, 0.832, 0.832)
Pr (0.582, 0.168, 0.168)
Pr (0.750, 0.500, 0.500)
Pr (0.918, 0.832, 0.832)
Pr (0.250, 0.500, 0.500)
Pr (0.709, 0.123, 0.460)
Pr (0.082, 0.168, 0.168)
Pr (0.791, 0.540, 0.877)
Pr (0.209, 0.460, 0.123)
Ho (0.122, 0.188, 0.568)
Ho (0.750, 0.000, 0.000)
Ho (0.878, 0.812, 0.432)
Ho (0.622, 0.568, 0.188)
Ho (0.378, 0.432, 0.812)
Ho (0.250, 0.000, 0.000)
Hg (0.435, 0.823, 0.306)
Hg (0.565, 0.177, 0.694)
Hg (0.935, 0.306, 0.823)
Hg (0.065, 0.694, 0.177)

=====

Entry 8:
Density functional theory data (PBE) for a geometry-optimized CdFe2NCl structure.

Calculated values
E_form (uncorrected), eV per atom: 1.616
Magnetic moment, μB per formula unit: 6.71

Cell: 5.175 3.941 5.175 Å, 90.00 90.00 90.00°
Atoms (fractional coordinates):
Fe (0.000, 0.000, 0.500)
Fe (0.500, 0.000, 0.000)
N (0.000, 0.500, 0.000)
Cl (0.500, 0.500, 0.500)
Cd (0.000, 0.000, 0.000)